Entry from the Alexandria database: a relaxed structure of Mn2SiPb (PBE-GGA).

Summary:
VASP energy ... -6.58 eV/atom
Formation energy from raw total energies ... 0.2845 eV per atom
Mass density ... 8.3 g/cm³
N(E_F) ... 3.05 states/eV per cell

Cell lengths 3.2450, 3.2450, 6.5265 Å; angles 90.00, 90.00, 90.00 degrees
Closest atoms and distances in Å follow each position.
Element x y z (fractional)
Pb  0.0000  0.0000  0.4904  5 Mn 2.94-3.07, 4 Si 3.23, 4 Pb 3.24
Mn  0.0000  0.0000  0.9613  4 Si 2.43
Mn  0.5000  0.5000  0.2089  1 Si 2.41
Si  0.5000  0.5000  0.8394  5 Mn 2.41-2.43